Entry 1:
Computed, not measured: a relaxed structure of LiOsS2Cl at the PBE level of DFT.

Results
offset from the most stable computed form	0.0	kJ/mol of atoms
raw total energy	-4.744	eV per atom
raw formation energy	-0.09	eV per atom

a = 4.4848 Å, b = 4.4848 Å, c = 5.6320 Å
α = 90.00°, β = 90.00°, γ = 90.00°
Positions (direct):
Li1 0.0000 0.0000 0.0000
Os1 0.5000 0.5000 0.5000
S1 0.0000 0.5000 0.5000
S2 0.5000 0.0000 0.5000
Cl1 0.5000 0.5000 0.0000

Entry 2:
Computed, not measured: a relaxed structure of KIr2Os at the PBE level of DFT.

Results
offset from the most stable computed form	99.3	kJ/mol of atoms
raw total energy	-6.002	eV per atom

a = 4.1893 Å, b = 4.1893 Å, c = 3.8639 Å
α = 90.00°, β = 90.00°, γ = 90.00°
Positions (direct):
K1 0.0000 0.0000 0.0000
Ir1 0.0000 0.5000 0.5000
Ir2 0.5000 0.0000 0.5000
Os1 0.5000 0.5000 0.0000

Entry 3:
Computed, not measured: a relaxed structure of Be2NiGeH at the PBE level of DFT.

Results
raw total energy	-3.126	eV per atom

a = 4.1818 Å, b = 4.1818 Å, c = 4.5126 Å
α = 90.00°, β = 90.00°, γ = 90.00°
Positions (direct):
Be1 0.0000 0.5000 0.0000
Be2 0.5000 0.0000 0.0000
Ni1 0.0000 0.0000 0.5000
Ge1 0.0000 0.0000 0.0000
H1 0.5000 0.5000 0.5000

Entry 4:
Computed, not measured: a relaxed structure of Tb5SmTe4 at the PBE level of DFT.

Results
raw total energy	-4.975	eV per atom
raw formation energy	-0.93	eV per atom

a = 9.4264 Å, b = 9.4264 Å, c = 8.5469 Å
α = 102.37°, β = 102.37°, γ = 25.82°
Positions (direct):
Tb1 0.0000 0.0000 0.0000
Tb2 0.3113 0.3113 0.1437
Tb3 0.3382 0.3382 0.7078
Tb4 0.6618 0.6618 0.2922
Tb5 0.6887 0.6887 0.8563
Sm1 0.0000 0.0000 0.5000
Te1 0.1701 0.1701 0.5694
Te2 0.4868 0.4868 0.2393
Te3 0.5132 0.5132 0.7607
Te4 0.8299 0.8299 0.4306

Entry 5:
Computed, not measured: a relaxed structure of SrDy4Ge4 at the PBE level of DFT.

Results
raw total energy	-4.914	eV per atom

a = 9.5643 Å, b = 9.5643 Å, c = 5.7714 Å
α = 90.00°, β = 90.00°, γ = 90.00°
Positions (direct):
Sr1 0.2500 0.2500 0.2500
Sr2 0.7500 0.7500 0.7500
Dy1 0.1122 0.6312 0.1350
Dy2 0.1312 0.8878 0.6350
Dy3 0.3688 0.6122 0.6350
Dy4 0.3878 0.8688 0.1350
Dy5 0.6122 0.1312 0.8650
Dy6 0.6312 0.3878 0.3650
Dy7 0.8688 0.1122 0.3650
Dy8 0.8878 0.3688 0.8650
Ge1 0.0632 0.5819 0.6488
Ge2 0.0819 0.9368 0.1488
Ge3 0.4181 0.5632 0.1488
Ge4 0.4368 0.9181 0.6488
Ge5 0.5632 0.0819 0.3512
Ge6 0.5819 0.4368 0.8512
Ge7 0.9181 0.0632 0.8512
Ge8 0.9368 0.4181 0.3512

Entry 6:
Computed, not measured: a relaxed structure of SmTh2TlC at the PBE level of DFT.

Results
raw total energy	-6.509	eV per atom

a = 5.0674 Å, b = 5.0674 Å, c = 5.1276 Å
α = 90.00°, β = 90.00°, γ = 90.00°
Positions (direct):
Sm1 0.0000 0.0000 0.0000
Th1 0.0000 0.5000 0.5000
Th2 0.5000 0.0000 0.5000
Tl1 0.5000 0.5000 0.0000
C1 0.0000 0.0000 0.5000